The following is a PBE-GGA calculation of a relaxed ThMgCd6 crystal, from Alexandria.

Lattice parameters (Å, degrees): 4.9498 4.9498 9.3787 74.70 74.70 60.00
Last column: nearest neighbours and their distance in Å.
Positions (direct):
Th: 0.5000 0.5000 0.5000  14 Cd 3.23-3.57
Mg: 0.0000 0.0000 0.0000  8 Cd 2.96-3.04
Cd: 0.6278 0.6278 0.1167  3 Mg 3.04, 4 Cd 3.13-3.36
Cd: 0.1103 0.1103 0.6692  3 Cd 2.93, 1 Mg 2.96, 3 Th 3.23
Cd: 0.8897 0.8897 0.3308  3 Cd 2.93, 1 Mg 2.96, 3 Th 3.23
Cd: 0.3722 0.3722 0.8833  3 Mg 3.04, 4 Cd 3.13-3.36
Cd: 0.2467 0.2467 0.2599  6 Cd 2.93-3.13
Cd: 0.7533 0.7533 0.7401  6 Cd 2.93-3.13

Size of the total moment in μB/cell: 0.00
E_tot in eV for the cell shown: -15.1
Symmetry: No. 166
E_form in eV per atom: -0.078